CuAg: optimized geometry, PBE-GGA.

a = 6.790 Å, b = 6.790 Å, c = 2.814 Å
α = 90.00°, β = 90.00°, γ = 112.23°
Element x y z (fractional)
Ag: 0.500 0.000 0.000
Ag: 0.000 0.500 0.000
Ag: 0.882 0.118 0.500
Ag: 0.118 0.882 0.500
Cu: 0.274 0.274 0.000
Cu: 0.726 0.726 0.000
Cu: 0.616 0.384 0.500
Cu: 0.384 0.616 0.500

Output
- energy of formation (meV per atom) = 99
- SG = Cmmm (65)

Cu3Ag4: optimized geometry, PBE-GGA.

a = 4.912 Å, b = 4.912 Å, c = 7.976 Å
α = 91.82°, β = 91.82°, γ = 33.83°
Element x y z (fractional)
Ag: 0.638 0.638 0.085
Ag: 0.912 0.912 0.238
Ag: 0.088 0.088 0.762
Ag: 0.362 0.362 0.915
Cu: 0.198 0.198 0.383
Cu: 0.500 0.500 0.500
Cu: 0.802 0.802 0.617

Output
- energy of formation (meV per atom) = 69
- SG = C2/m (12)

CuAg: optimized geometry, PBE-GGA.

a = 11.190 Å, b = 11.190 Å, c = 4.805 Å
α = 94.12°, β = 94.12°, γ = 14.35°
Element x y z (fractional)
Ag: 0.805 0.805 0.102
Ag: 0.693 0.693 0.397
Ag: 0.000 0.000 0.500
Ag: 0.307 0.307 0.603
Ag: 0.195 0.195 0.898
Cu: 0.500 0.500 0.000
Cu: 0.093 0.093 0.182
Cu: 0.405 0.405 0.287
Cu: 0.595 0.595 0.713
Cu: 0.907 0.907 0.818

Output
- energy of formation (meV per atom) = 105
- SG = C2/m (12)

Cu4Ag5: optimized geometry, PBE-GGA.

a = 2.810 Å, b = 2.810 Å, c = 20.180 Å
α = 90.00°, β = 90.00°, γ = 120.00°
Element x y z (fractional)
Ag: 0.333 0.667 0.061
Ag: 0.000 0.000 0.183
Ag: 0.000 0.000 0.500
Ag: 0.000 0.000 0.817
Ag: 0.667 0.333 0.939
Cu: 0.667 0.333 0.293
Cu: 0.333 0.667 0.389
Cu: 0.667 0.333 0.611
Cu: 0.333 0.667 0.707

Output
- energy of formation (meV per atom) = 92
- SG = P-3m1 (164)

CuAg: optimized geometry, PBE-GGA.

a = 4.773 Å, b = 4.799 Å, c = 7.302 Å
α = 71.27°, β = 71.22°, γ = 80.65°
Element x y z (fractional)
Ag: 0.492 0.718 0.089
Ag: 0.005 0.396 0.201
Ag: 0.502 0.090 0.306
Ag: 0.504 0.489 0.512
Ag: 0.997 0.605 0.794
Cu: 0.994 0.800 0.405
Cu: 0.993 0.188 0.610
Cu: 0.497 0.908 0.702
Cu: 0.510 0.294 0.894
Cu: 0.006 0.013 0.987

Output
- energy of formation (meV per atom) = 101
- SG = P1 (1)

Cu3Ag5: optimized geometry, PBE-GGA.

a = 4.845 Å, b = 2.853 Å, c = 9.329 Å
α = 90.00°, β = 102.08°, γ = 90.00°
Element x y z (fractional)
Ag: 0.243 0.000 0.242
Ag: 0.759 0.500 0.258
Ag: 0.511 0.500 0.511
Ag: 0.230 0.500 0.744
Ag: 0.508 0.000 0.996
Cu: 0.000 0.000 0.502
Cu: 0.754 0.000 0.759
Cu: 0.994 0.500 0.988

Output
- energy of formation (meV per atom) = 91
- SG = Pm (6)

Cu3Ag4: optimized geometry, PBE-GGA.

a = 4.840 Å, b = 4.840 Å, c = 6.259 Å
α = 97.53°, β = 97.53°, γ = 47.83°
Element x y z (fractional)
Ag: 0.435 0.435 0.279
Ag: 0.853 0.853 0.562
Ag: 0.570 0.570 0.723
Ag: 0.283 0.283 0.866
Cu: 0.004 0.004 0.013
Cu: 0.711 0.711 0.146
Cu: 0.145 0.145 0.411

Output
- energy of formation (meV per atom) = 95
- SG = Cm (8)

Cu3Ag2: optimized geometry, PBE-GGA.

a = 7.302 Å, b = 7.302 Å, c = 7.506 Å
α = 105.33°, β = 105.33°, γ = 21.72°
Element x y z (fractional)
Ag: 0.797 0.797 0.381
Ag: 0.007 0.007 0.494
Ag: 0.403 0.403 0.713
Ag: 0.792 0.792 0.914
Cu: 0.006 0.006 0.015
Cu: 0.186 0.186 0.093
Cu: 0.410 0.410 0.192
Cu: 0.603 0.603 0.293
Cu: 0.197 0.197 0.597
Cu: 0.600 0.600 0.809

Output
- energy of formation (meV per atom) = 91
- SG = Cm (8)

| no. | total energy (eV per atom) |
| --- | --- |
| 1 | -3.172 |
| 2 | -3.137 |
| 3 | -3.166 |
| 4 | -3.129 |
| 5 | -3.170 |
| 6 | -3.068 |
| 7 | -3.112 |
| 8 | -3.269 |